Computed, not measured: a relaxed structure of Zn3SiGe at the GGA-PBE level of DFT.

Cell and atoms, written as POSCAR:
```
Zn3SiGe
1.0
4.7152 0.0000 0.0000
0.0000 4.7152 0.0000
0.0000 0.0000 4.7152
Zn Si Ge
3 1 1
direct
0.0000 0.0000 0.5000 Zn
0.0000 0.5000 0.0000 Zn
0.5000 0.0000 0.0000 Zn
0.0000 0.0000 0.0000 Si
0.5000 0.5000 0.5000 Ge
```

Values from the calculation:
ΔE to the lowest computed polymorph: 0 meV per atom
E_form (uncorrected): 0.587 eV/atom
final energy: -2.185 eV/atom